[1]
VASP calculation (GGA-PBE) on an optimized crystal structure of Pu8Ir5Au.

Lattice parameters (Å, degrees): 7.429 7.429 7.429 109.21 109.21 110.00
Element x y z (fractional)
Pu: 0.014 0.609 0.737
Pu: 0.239 0.498 0.112
Pu: 0.386 0.128 0.888
Pu: 0.391 0.129 0.405
Pu: 0.502 0.614 0.742
Pu: 0.724 0.986 0.595
Pu: 0.871 0.276 0.263
Pu: 0.872 0.761 0.258
Ir: 0.121 0.237 0.622
Ir: 0.250 0.750 0.500
Ir: 0.501 0.879 0.116
Ir: 0.615 0.499 0.378
Ir: 0.763 0.385 0.884
Au: 0.000 0.000 0.000

Values from the calculation:
The space group is No. 82. Its energy relative to the elements is -0.44 eV per atom. The value obtained for the volume is 315.7 Å³/cell. Its crystal system is tetragonal.

[2]
VASP calculation (GGA-PBE) on an optimized crystal structure of Ba3Al5Cl12.

Lattice parameters (Å, degrees): 15.073 15.073 15.073 109.47 109.47 109.47
Element x y z (fractional)
Ba: 0.125 0.250 0.375
Ba: 0.125 0.375 0.750
Ba: 0.250 0.375 0.125
Ba: 0.250 0.875 0.625
Ba: 0.375 0.125 0.250
Ba: 0.375 0.750 0.125
Ba: 0.625 0.250 0.875
Ba: 0.625 0.875 0.750
Ba: 0.750 0.125 0.375
Ba: 0.750 0.625 0.875
Ba: 0.875 0.625 0.250
Ba: 0.875 0.750 0.625
Al: 0.000 0.000 0.000
Al: 0.000 0.000 0.500
Al: 0.000 0.500 0.000
Al: 0.000 0.500 0.500
Al: 0.125 0.750 0.875
Al: 0.125 0.875 0.250
Al: 0.250 0.125 0.875
Al: 0.250 0.625 0.375
Al: 0.375 0.250 0.625
Al: 0.375 0.625 0.750
Al: 0.500 0.000 0.000
Al: 0.500 0.000 0.500
Al: 0.500 0.500 0.000
Al: 0.500 0.500 0.500
Al: 0.625 0.375 0.250
Al: 0.625 0.750 0.375
Al: 0.750 0.375 0.625
Al: 0.750 0.875 0.125
Al: 0.875 0.125 0.750
Al: 0.875 0.250 0.125
Cl: 0.044 0.213 0.128
Cl: 0.044 0.331 0.916
Cl: 0.084 0.628 0.415
Cl: 0.084 0.956 0.669
Cl: 0.085 0.713 0.669
Cl: 0.085 0.872 0.416
Cl: 0.128 0.044 0.213
Cl: 0.128 0.584 0.915
Cl: 0.169 0.213 0.585
Cl: 0.169 0.456 0.584
Cl: 0.213 0.128 0.044
Cl: 0.213 0.585 0.169
Cl: 0.287 0.331 0.915
Cl: 0.287 0.456 0.372
Cl: 0.331 0.915 0.287
Cl: 0.331 0.916 0.044
Cl: 0.372 0.287 0.456
Cl: 0.372 0.585 0.916
Cl: 0.415 0.084 0.628
Cl: 0.415 0.831 0.787
Cl: 0.416 0.085 0.872
Cl: 0.416 0.831 0.544
Cl: 0.456 0.372 0.287
Cl: 0.456 0.584 0.169
Cl: 0.544 0.416 0.831
Cl: 0.544 0.628 0.713
Cl: 0.584 0.169 0.456
Cl: 0.584 0.915 0.128
Cl: 0.585 0.169 0.213
Cl: 0.585 0.916 0.372
Cl: 0.628 0.415 0.084
Cl: 0.628 0.713 0.544
Cl: 0.669 0.084 0.956
Cl: 0.669 0.085 0.713
Cl: 0.713 0.544 0.628
Cl: 0.713 0.669 0.085
Cl: 0.787 0.415 0.831
Cl: 0.787 0.872 0.956
Cl: 0.831 0.544 0.416
Cl: 0.831 0.787 0.415
Cl: 0.872 0.416 0.085
Cl: 0.872 0.956 0.787
Cl: 0.915 0.128 0.584
Cl: 0.915 0.287 0.331
Cl: 0.916 0.044 0.331
Cl: 0.916 0.372 0.585
Cl: 0.956 0.669 0.084
Cl: 0.956 0.787 0.872

Values from the calculation:
The space group is No. 230. The final energy comes out at -289.96 eV per cell. The value obtained for the volume is 2636.0 Å³/cell. Its crystal system is cubic.

[3]
VASP calculation (GGA-PBE) on an optimized crystal structure of CaMn2S4.

Lattice parameters (Å, degrees): 7.549 7.549 7.549 60.00 60.00 60.00
Element x y z (fractional)
Ca: 0.125 0.125 0.125
Ca: 0.875 0.875 0.875
Mn: 0.000 0.500 0.500
Mn: 0.500 0.000 0.500
Mn: 0.500 0.500 0.000
Mn: 0.500 0.500 0.500
S: 0.269 0.269 0.269
S: 0.269 0.269 0.694
S: 0.269 0.694 0.269
S: 0.306 0.731 0.731
S: 0.694 0.269 0.269
S: 0.731 0.306 0.731
S: 0.731 0.731 0.306
S: 0.731 0.731 0.731

Values from the calculation:
The space group is No. 227. The final energy comes out at -85.43 eV per cell. The value obtained for the volume is 304.2 Å³/cell. Its crystal system is cubic.

[4]
VASP calculation (GGA-PBE) on an optimized crystal structure of Ga2HgAu3.

Lattice parameters (Å, degrees): 7.386 4.190 8.528 90.00 95.33 90.00
Element x y z (fractional)
Ga: 0.067 0.250 0.339
Ga: 0.163 0.250 0.978
Ga: 0.837 0.750 0.022
Ga: 0.933 0.750 0.661
Hg: 0.458 0.250 0.674
Hg: 0.542 0.750 0.326
Au: 0.177 0.750 0.167
Au: 0.222 0.750 0.502
Au: 0.271 0.750 0.834
Au: 0.729 0.250 0.166
Au: 0.778 0.250 0.498
Au: 0.823 0.250 0.833

Values from the calculation:
The space group is No. 11. Its energy relative to the elements is -0.09 eV per atom. The value obtained for the volume is 262.8 Å³/cell. Its crystal system is monoclinic.

[5]
VASP calculation (GGA-PBE) on an optimized crystal structure of CaPr6Tm2.

Lattice parameters (Å, degrees): 6.142 6.142 11.694 90.00 90.00 120.00
Element x y z (fractional)
Ca: 0.000 0.000 0.000
Pr: 0.000 0.329 0.263
Pr: 0.000 0.671 0.737
Pr: 0.329 0.000 0.263
Pr: 0.329 0.329 0.737
Pr: 0.671 0.000 0.737
Pr: 0.671 0.671 0.263
Tm: 0.333 0.667 0.500
Tm: 0.667 0.333 0.500

Values from the calculation:
The space group is No. 162. Its energy relative to the elements is 0.48 eV per atom. The value obtained for the volume is 382.1 Å³/cell. Its crystal system is trigonal.

[6]
VASP calculation (GGA-PBE) on an optimized crystal structure of CaTb3Ag2.

Lattice parameters (Å, degrees): 5.056 9.194 7.231 90.00 90.00 90.00
Element x y z (fractional)
Ca: 0.000 0.066 0.000
Ca: 0.000 0.934 0.500
Tb: 0.000 0.330 0.630
Tb: 0.000 0.670 0.130
Tb: 0.500 0.183 0.328
Tb: 0.500 0.435 0.957
Tb: 0.500 0.565 0.457
Tb: 0.500 0.817 0.828
Ag: 0.000 0.357 0.222
Ag: 0.000 0.643 0.722
Ag: 0.500 0.146 0.734
Ag: 0.500 0.854 0.234

Values from the calculation:
The space group is No. 26. Its energy relative to the elements is -0.19 eV per atom. The value obtained for the volume is 336.1 Å³/cell. Its crystal system is orthorhombic.

[7]
VASP calculation (GGA-PBE) on an optimized crystal structure of Y2MgZn.

Lattice parameters (Å, degrees): 6.262 6.262 6.262 146.78 130.82 60.64
Element x y z (fractional)
Y: 0.000 0.000 0.000
Y: 0.717 0.217 0.500
Mg: 0.433 0.433 0.000
Zn: 0.237 0.737 0.500

Values from the calculation:
The space group is No. 44. Its energy relative to the elements is -0.15 eV per atom. The value obtained for the volume is 100.8 Å³/cell. Its crystal system is orthorhombic.

[8]
VASP calculation (GGA-PBE) on an optimized crystal structure of RhAuO3.

Lattice parameters (Å, degrees): 3.910 3.910 3.910 90.00 90.00 90.00
Element x y z (fractional)
Rh: 0.000 0.000 0.000
Au: 0.500 0.500 0.500
O: 0.000 0.000 0.500
O: 0.000 0.500 0.000
O: 0.500 0.000 0.000

Values from the calculation:
The space group is No. 221. The final energy comes out at -24.62 eV per cell. The value obtained for the volume is 59.8 Å³/cell. Its crystal system is cubic.

[9]
VASP calculation (GGA-PBE) on an optimized crystal structure of Fe2CoSb.

Lattice parameters (Å, degrees): 3.663 3.663 4.014 90.00 90.00 90.00
Element x y z (fractional)
Fe: 0.000 0.500 0.000
Fe: 0.500 0.000 0.000
Co: 0.000 0.000 0.500
Sb: 0.500 0.500 0.500

Values from the calculation:
The space group is No. 123. The final energy comes out at -27.74 eV per cell. The value obtained for the volume is 53.8 Å³/cell. Its crystal system is tetragonal.

[10]
VASP calculation (GGA-PBE) on an optimized crystal structure of Pt3Au.

Lattice parameters (Å, degrees): 5.610 5.610 5.610 151.31 128.61 59.92
Element x y z (fractional)
Pt: 0.000 0.000 0.000
Pt: 0.244 0.744 0.500
Pt: 0.756 0.256 0.500
Au: 0.500 0.500 0.000

Values from the calculation:
The space group is No. 71. Its energy relative to the elements is 0.06 eV per atom. The value obtained for the volume is 65.7 Å³/cell. Its crystal system is orthorhombic.

[11]
VASP calculation (GGA-PBE) on an optimized crystal structure of Na2Sr5Zn2.

Lattice parameters (Å, degrees): 10.957 10.957 8.586 90.00 90.00 46.04
Element x y z (fractional)
Na: 0.229 0.229 0.000
Na: 0.271 0.271 0.500
Na: 0.729 0.729 0.500
Na: 0.771 0.771 0.000
Sr: 0.000 0.000 0.000
Sr: 0.066 0.705 0.681
Sr: 0.205 0.566 0.181
Sr: 0.295 0.934 0.681
Sr: 0.434 0.795 0.181
Sr: 0.500 0.500 0.500
Sr: 0.566 0.205 0.819
Sr: 0.705 0.066 0.319
Sr: 0.795 0.434 0.819
Sr: 0.934 0.295 0.319
Zn: 0.109 0.891 0.390
Zn: 0.391 0.609 0.890
Zn: 0.609 0.391 0.110
Zn: 0.891 0.109 0.610

Values from the calculation:
The space group is No. 64. Its energy relative to the elements is -0.06 eV per atom. The value obtained for the volume is 742.1 Å³/cell. Its crystal system is orthorhombic.

[12]
VASP calculation (GGA-PBE) on an optimized crystal structure of HfTc2MoH.

Lattice parameters (Å, degrees): 4.454 4.454 3.438 90.00 90.00 90.00
Element x y z (fractional)
Hf: 0.000 0.000 0.000
Tc: 0.000 0.500 0.500
Tc: 0.500 0.000 0.500
Mo: 0.500 0.500 0.000
H: 0.500 0.500 0.500

Values from the calculation:
The space group is No. 123. The final energy comes out at -44.91 eV per cell. The value obtained for the volume is 68.2 Å³/cell. Its crystal system is tetragonal.

[13]
VASP calculation (GGA-PBE) on an optimized crystal structure of Rb2HgBI6.

Lattice parameters (Å, degrees): 8.109 8.109 8.109 119.92 119.92 90.13
Element x y z (fractional)
Rb: 0.250 0.750 0.500
Rb: 0.750 0.250 0.500
Hg: 0.000 0.000 0.000
B: 0.500 0.500 0.000
I: 0.268 0.268 0.537
I: 0.268 0.732 0.000
I: 0.273 0.273 0.000
I: 0.727 0.727 0.000
I: 0.732 0.268 0.000
I: 0.732 0.732 0.463

Values from the calculation:
The space group is No. 139. The final energy comes out at -21.96 eV per cell. The value obtained for the volume is 377.5 Å³/cell. Its crystal system is tetragonal.

[14]
VASP calculation (GGA-PBE) on an optimized crystal structure of GeBi2SbF.

Lattice parameters (Å, degrees): 5.037 5.037 5.076 90.00 90.00 90.00
Element x y z (fractional)
Ge: 0.000 0.000 0.000
Bi: 0.000 0.500 0.500
Bi: 0.500 0.000 0.500
Sb: 0.500 0.500 0.000
F: 0.500 0.500 0.500

Values from the calculation:
The space group is No. 123. The final energy comes out at -18.78 eV per cell. The value obtained for the volume is 128.8 Å³/cell. Its crystal system is tetragonal.

[15]
VASP calculation (GGA-PBE) on an optimized crystal structure of LiZrAl2.

Lattice parameters (Å, degrees): 9.776 9.776 9.776 17.67 17.67 17.67
Element x y z (fractional)
Li: 0.000 0.000 0.000
Zr: 0.500 0.500 0.500
Al: 0.252 0.252 0.252
Al: 0.748 0.748 0.748

Values from the calculation:
The space group is No. 166. Its energy relative to the elements is -0.12 eV per atom. The value obtained for the volume is 75.1 Å³/cell. Its crystal system is trigonal.

[16]
VASP calculation (GGA-PBE) on an optimized crystal structure of Rb2MnBiBr6.

Lattice parameters (Å, degrees): 8.124 8.124 8.124 121.65 121.65 87.16
Element x y z (fractional)
Rb: 0.250 0.750 0.500
Rb: 0.750 0.250 0.500
Mn: 0.000 0.000 0.000
Bi: 0.500 0.500 0.000
Br: 0.220 0.220 0.000
Br: 0.243 0.243 0.485
Br: 0.243 0.757 0.000
Br: 0.757 0.243 0.000
Br: 0.757 0.757 0.515
Br: 0.780 0.780 0.000

Values from the calculation:
The space group is No. 139. The final energy comes out at -35.36 eV per cell. The value obtained for the volume is 369.1 Å³/cell. Its crystal system is tetragonal.

[17]
VASP calculation (GGA-PBE) on an optimized crystal structure of OsPtSe2.

Lattice parameters (Å, degrees): 8.303 8.303 8.303 21.46 21.46 21.46
Element x y z (fractional)
Os: 0.000 0.000 0.000
Pt: 0.500 0.500 0.500
Se: 0.256 0.256 0.256
Se: 0.744 0.744 0.744

Values from the calculation:
The space group is No. 166. The final energy comes out at -22.78 eV per cell. The value obtained for the volume is 67.1 Å³/cell. Its crystal system is trigonal.

[18]
VASP calculation (GGA-PBE) on an optimized crystal structure of La2Sc3Si4.

Lattice parameters (Å, degrees): 7.549 7.580 7.293 90.00 108.07 90.00
Element x y z (fractional)
La: 0.193 0.170 0.073
La: 0.193 0.330 0.573
La: 0.807 0.670 0.427
La: 0.807 0.830 0.927
Sc: 0.253 0.676 0.252
Sc: 0.253 0.824 0.752
Sc: 0.500 0.000 0.500
Sc: 0.500 0.500 0.000
Sc: 0.747 0.176 0.248
Sc: 0.747 0.324 0.748
Si: 0.079 0.537 0.877
Si: 0.079 0.963 0.377
Si: 0.498 0.122 0.872
Si: 0.498 0.378 0.372
Si: 0.502 0.622 0.628
Si: 0.502 0.878 0.128
Si: 0.921 0.037 0.623
Si: 0.921 0.463 0.123

Values from the calculation:
The space group is No. 14. The final energy comes out at -115.27 eV per cell. The value obtained for the volume is 396.8 Å³/cell. Its crystal system is monoclinic.